(1)
Computed, not measured: a geometry-optimized Er2AlPt structure at the PBE-GGA level of DFT.

It has space group P2_1/m (No. 11), with a = 5.952 Å, b = 4.416 Å, c = 7.452 Å, α = 90.00°, β = 111.24° and γ = 90.00°. Symmetry generates all atoms from Er at (0.169, 0.250, 0.408), Er at (0.262, 0.750, 0.073), Al at (0.386, 0.750, 0.711) and Pt at (0.167, 0.250, 0.792).

For the formation energy, the calculation gives -3.46 eV per formula unit. For the total DFT energy (no corrections), the calculation gives -44.74 eV per cell. For the relative energy among the computed polymorphs, the calculation gives 0.000 eV per atom.

***

(2)
Computed, not measured: a geometry-optimized CeTaSi2Os structure at the PBE-GGA level of DFT.

It has space group I-4m2 (No. 119), with a = 4.043 Å, b = 4.043 Å, c = 11.070 Å, α = 90.00°, β = 90.00° and γ = 90.00°. Symmetry generates all atoms from Ce at (0.000, 0.000, 0.000), Ta at (0.000, 0.500, 0.250), Si at (0.000, 0.000, 0.391) and Os at (0.000, 0.500, 0.750).

The value obtained for the energy relative to the elements, uncorrected is -591 meV/atom. For the total DFT energy (no corrections), the calculation gives -85.63 eV per cell.

***

(3)
Computed, not measured: a geometry-optimized Na4In3GeO8 structure at the PBE-GGA level of DFT.

It has space group R-3m (No. 166, hexagonal axes), with a = 6.5217 Å, b = 6.5217 Å, c = 16.6514 Å, α = 90.00°, β = 90.00° and γ = 120.00°. Symmetry generates all atoms from Na at (0.0000, 0.0000, 0.0000), Na at (0.0000, 0.5000, 0.0000), In at (0.0000, 0.5000, 0.5000), Ge at (0.0000, 0.0000, 0.5000), O at (0.0000, 0.0000, 0.2375) and O at (0.0209, 0.5104, 0.2350).

The value obtained for the energy relative to the elements, uncorrected is -1555 meV/atom. For the total DFT energy (no corrections), the calculation gives -247.99 eV per cell.

***

(4)
Computed, not measured: a geometry-optimized Ac4Ag2Au structure at the PBE-GGA level of DFT.

It has space group I-42d (No. 122), with a = 9.792 Å, b = 9.792 Å, c = 9.989 Å, α = 90.00°, β = 90.00° and γ = 90.00°. Symmetry generates all atoms from Ac at (0.062, 0.692, 0.442), Ag at (0.115, 0.750, 0.125) and Au at (0.000, 0.000, 0.500).

For the formation energy, the calculation gives -2.10 eV per formula unit. For the total DFT energy (no corrections), the calculation gives -110.04 eV per cell. For the relative energy among the computed polymorphs, the calculation gives 0.000 eV per atom.

***

(5)
Computed, not measured: a geometry-optimized La2Th3 structure at the PBE-GGA level of DFT.

It has space group P-3m1 (No. 164), with a = 3.6110 Å, b = 3.6110 Å, c = 14.8858 Å, α = 90.00°, β = 90.00° and γ = 120.00°. Symmetry generates all atoms from La at (0.3333, 0.6667, 0.3038), Th at (0.0000, 0.0000, 0.5000) and Th at (0.3333, 0.6667, 0.9038).

For the formation energy, the calculation gives 0.26 eV per formula unit. For the total DFT energy (no corrections), the calculation gives -31.85 eV per cell. For the relative energy among the computed polymorphs, the calculation gives 0.037 eV per atom.

***

(6)
Computed, not measured: a geometry-optimized MgNi10P3 structure at the PBE-GGA level of DFT.

It has space group Fm-3m (No. 225), with a = 11.073 Å, b = 11.073 Å, c = 11.073 Å, α = 90.00°, β = 90.00° and γ = 90.00°. Symmetry generates all atoms from Mg at (0.250, 0.250, 0.250), Ni at (0.000, 0.174, 0.174), Ni at (0.116, 0.116, 0.384) and P at (0.000, 0.000, 0.263).

For the formation energy, the calculation gives -5.95 eV per formula unit. For the total DFT energy (no corrections), the calculation gives -652.69 eV per cell.

***

(7)
Computed, not measured: a geometry-optimized SrNdEuMg structure at the PBE-GGA level of DFT.

It has space group F-43m (No. 216), with a = 8.372 Å, b = 8.372 Å, c = 8.372 Å, α = 90.00°, β = 90.00° and γ = 90.00°. Symmetry generates all atoms from Sr at (0.000, 0.000, 0.000), Nd at (0.000, 0.000, 0.500), Eu at (0.250, 0.250, 0.750) and Mg at (0.250, 0.250, 0.250).

For the formation energy, the calculation gives 0.37 eV per formula unit. For the total DFT energy (no corrections), the calculation gives -71.79 eV per cell.

***

(8)
Computed, not measured: a geometry-optimized Pr2Ho8Sc structure at the PBE-GGA level of DFT.

It has space group C2/m (No. 12), with a = 18.046 Å, b = 4.995 Å, c = 7.918 Å, α = 90.00°, β = 105.32° and γ = 90.00°. Symmetry generates all atoms from Pr at (0.226, 0.000, 0.138), Ho at (0.044, 0.000, 0.230), Ho at (0.088, 0.500, 0.948), Ho at (0.133, 0.000, 0.674), Ho at (0.179, 0.500, 0.408) and Sc at (0.000, 0.500, 0.500).

For the formation energy, the calculation gives 0.38 eV per formula unit. For the total DFT energy (no corrections), the calculation gives -104.26 eV per cell. For the relative energy among the computed polymorphs, the calculation gives 0.000 eV per atom.

***

(9)
Computed, not measured: a geometry-optimized TlTeS3 structure at the PBE-GGA level of DFT.

It has space group Pm-3m (No. 221), with a = 5.148 Å, b = 5.148 Å, c = 5.148 Å, α = 90.00°, β = 90.00° and γ = 90.00°. Symmetry generates all atoms from Tl at (0.000, 0.000, 0.000), Te at (0.500, 0.500, 0.500) and S at (0.000, 0.500, 0.500).

The value obtained for the energy relative to the elements, uncorrected is 205 meV/atom. For the total DFT energy (no corrections), the calculation gives -16.87 eV per cell. For the relative energy among the computed polymorphs, the calculation gives 0.270 eV per atom.

***

(10)
Computed, not measured: a geometry-optimized ZrTiCoNi structure at the PBE-GGA level of DFT.

It has space group F-43m (No. 216), with a = 6.206 Å, b = 6.206 Å, c = 6.206 Å, α = 90.00°, β = 90.00° and γ = 90.00°. Symmetry generates all atoms from Zr at (0.000, 0.000, 0.000), Ti at (0.000, 0.000, 0.500), Co at (0.250, 0.250, 0.250) and Ni at (0.250, 0.250, 0.750).

For the formation energy, the calculation gives -1.26 eV per formula unit. For the total DFT energy (no corrections), the calculation gives -122.35 eV per cell.

***

(11)
Computed, not measured: a geometry-optimized Pm7Y12Tm structure at the PBE-GGA level of DFT.

It has space group Im-3m (No. 229), with a = 11.315 Å, b = 11.315 Å, c = 11.315 Å, α = 90.00°, β = 90.00° and γ = 90.00°. Symmetry generates all atoms from Pm at (0.000, 0.000, 0.500), Pm at (0.250, 0.250, 0.250), Y at (0.000, 0.247, 0.247) and Tm at (0.000, 0.000, 0.000).

For the formation energy, the calculation gives 12.89 eV per formula unit. For the total DFT energy (no corrections), the calculation gives -204.81 eV per cell. For the relative energy among the computed polymorphs, the calculation gives 0.410 eV per atom.

***

(12)
Computed, not measured: a geometry-optimized LaAsS2Cl structure at the PBE-GGA level of DFT.

It has space group P4/mmm (No. 123), with a = 5.630 Å, b = 5.630 Å, c = 5.413 Å, α = 90.00°, β = 90.00° and γ = 90.00°. Symmetry generates all atoms from La at (0.000, 0.000, 0.000), As at (0.500, 0.500, 0.500), S at (0.000, 0.500, 0.000) and Cl at (0.000, 0.000, 0.500).

The value obtained for the energy relative to the elements, uncorrected is -352 meV/atom. For the total DFT energy (no corrections), the calculation gives -21.44 eV per cell. For the relative energy among the computed polymorphs, the calculation gives 0.417 eV per atom.

***

- total DFT energy (no corrections) of number 11 (Pm7Y12Tm)?
  -204.81 eV per cell